Record 1
The following is a PBE-GGA calculation of a relaxed structure of MnCrP2, from Alexandria via LeMat-Bulk.

a b c (Å): 4.220 2.769 3.927
angles (deg): 90.01 90.00 90.00
Atoms (fractional coordinates):
Cr (0.000, 0.375, 0.506)
Mn (0.500, 0.875, 0.750)
P (0.000, 0.875, 0.002)
P (0.500, 0.375, 0.242)

Properties
Calculated formation energy, eV/atom: -0.28
Mass density, g/cm³: 6.11
M_tot, μB/atom: 0.00

Record 2
The following is a PBE-GGA calculation of a relaxed structure of Mn2Cr2P, from Alexandria via LeMat-Bulk.

a b c (Å): 3.461 3.461 5.976
angles (deg): 73.16 73.16 90.00
Last column: magnetic moment on the atom in μB.
Atoms (fractional coordinates):
Cr (0.389, 0.389, 0.222)  -0.92
Cr (0.611, 0.611, 0.778)  -0.92
Mn (0.750, 0.250, 0.500)  1.03
Mn (0.250, 0.750, 0.500)  1.03
P (0.000, 0.000, 0.000)  0.04

Properties
Calculated formation energy, eV/atom: 0.50
Mass density, g/cm³: 6.23
M_tot, μB/atom: 0.05

Record 3
The following is a PBE-GGA calculation of a relaxed structure of MnCrP2, from Alexandria via LeMat-Bulk.

a b c (Å): 7.215 7.215 7.215
angles (deg): 22.71 22.71 22.71
Last column: magnetic moment on the atom in μB.
Atoms (fractional coordinates):
Cr (0.504, 0.504, 0.504)  -0.10
Mn (0.744, 0.744, 0.744)  0.81
P (0.005, 0.005, 0.005)  -0.04
P (0.246, 0.246, 0.246)  0.00

Properties
Calculated formation energy, eV/atom: -0.02
Mass density, g/cm³: 5.71
M_tot, μB/atom: 0.16

Record 4
The following is a PBE-GGA calculation of a relaxed structure of MnCrP2, from Alexandria via LeMat-Bulk.

a b c (Å): 5.662 5.662 5.662
angles (deg): 148.47 149.11 44.72
Last column: magnetic moment on the atom in μB.
Atoms (fractional coordinates):
Cr (0.458, 0.458, 0.000)  0.31
Mn (0.208, 0.708, 0.500)  1.22
P (0.044, 0.044, 0.000)  -0.04
P (0.790, 0.290, 0.500)  -0.06

Properties
Calculated formation energy, eV/atom: -0.47
Mass density, g/cm³: 5.77
M_tot, μB/atom: 0.35

Record 5
The following is a PBE-GGA calculation of a relaxed structure of MnCrP2, from Alexandria via LeMat-Bulk.

a b c (Å): 3.464 3.464 5.399
angles (deg): 71.25 71.25 59.94
Last column: magnetic moment on the atom in μB.
Atoms (fractional coordinates):
Mn (0.493, 0.493, 0.520)  -0.77
Cr (0.673, 0.673, 0.980)  2.19
P (0.089, 0.089, 0.732)  -0.03
P (0.244, 0.244, 0.268)  -0.03

Properties
Calculated formation energy, eV/atom: -0.31
Mass density, g/cm³: 5.39
M_tot, μB/atom: 0.35

Record 6
The following is a PBE-GGA calculation of a relaxed structure of MnCrP2, from Alexandria via LeMat-Bulk.

a b c (Å): 3.816 3.816 5.058
angles (deg): 77.63 77.63 42.34
Last column: magnetic moment on the atom in μB.
Atoms (fractional coordinates):
Cr (0.750, 0.750, 0.750)  1.90
Mn (0.250, 0.250, 0.250)  -0.58
P (0.998, 0.998, 0.028)  -0.02
P (0.502, 0.502, 0.472)  -0.02

Properties
Calculated formation energy, eV/atom: -0.16
Mass density, g/cm³: 5.81
M_tot, μB/atom: 0.36

no.,electronic total energy (eV/atom)
1,-7.685
2,-8.096
3,-7.421
4,-7.869
5,-7.713
6,-7.564